1.
Density functional theory data (GGA-PBE) for an optimized crystal structure of Mg3Al.

Lattice parameters (Å, degrees): 4.943 6.258 5.420 90.00 90.00 90.00
Space group Pmmn (No. 59, origin choice 2)
Inequivalent atoms, fractional coordinates:
Mg: 0.250 0.001 0.168
Mg: 0.250 0.750 0.650
Al: 0.250 0.250 0.679

Values from the calculation:
Energy of formation from the pure elements ... 1 kJ/mol of atoms

2.
Density functional theory data (GGA-PBE) for an optimized crystal structure of Mg4Al.

Lattice parameters (Å, degrees): 8.391 5.055 5.590 90.00 115.11 90.00
Space group C2/m (No. 12)
Inequivalent atoms, fractional coordinates:
Mg: 0.101 0.000 0.310
Mg: 0.195 0.500 0.087
Al: 0.000 0.500 0.500

Values from the calculation:
Energy above the most stable polymorph in this dataset ... 32 meV per atom
Energy of formation from the pure elements ... 4 kJ/mol of atoms

3.
Density functional theory data (GGA-PBE) for an optimized crystal structure of Mg17Al12.

Lattice parameters (Å, degrees): 10.537 10.537 10.537 90.00 90.00 90.00
Space group I-43m (No. 217)
Inequivalent atoms, fractional coordinates:
Mg: 0.000 0.000 0.000
Mg: 0.041 0.357 0.643
Mg: 0.172 0.172 0.172
Al: 0.090 0.090 0.725

Values from the calculation:
Energy of formation from the pure elements ... -3 kJ/mol of atoms

4.
Density functional theory data (GGA-PBE) for an optimized crystal structure of MgAl2.

Lattice parameters (Å, degrees): 5.555 5.555 5.116 90.00 90.00 90.00
Space group P4_2/mnm (No. 136)
Inequivalent atoms, fractional coordinates:
Mg: 0.000 0.000 0.000
Al: 0.164 0.164 0.500

Values from the calculation:
Energy of formation from the pure elements ... 64 kJ/mol of atoms

5.
Density functional theory data (GGA-PBE) for an optimized crystal structure of Mg7Al.

Lattice parameters (Å, degrees): 8.907 8.907 8.907 90.00 90.00 90.00
Space group Fm-3m (No. 225)
Inequivalent atoms, fractional coordinates:
Mg: 0.000 0.000 0.000
Mg: 0.000 0.250 0.250
Al: 0.000 0.000 0.500

Values from the calculation:
Energy above the most stable polymorph in this dataset ... 26 meV per atom
Energy of formation from the pure elements ... 3 kJ/mol of atoms

6.
Density functional theory data (GGA-PBE) for an optimized crystal structure of Mg3Al.

Lattice parameters (Å, degrees): 4.8870 4.8870 8.6079 90.00 90.00 120.00
Space group P6_3/mmc (No. 194)
Inequivalent atoms, fractional coordinates:
Mg: 0.0000 0.0000 0.2500
Mg: 0.3333 0.6667 0.0799
Al: 0.3333 0.6667 0.7500

Values from the calculation:
Energy of formation from the pure elements ... 6 kJ/mol of atoms

7.
Density functional theory data (GGA-PBE) for an optimized crystal structure of Mg3Al.

Lattice parameters (Å, degrees): 6.2648 6.2648 4.9477 90.00 90.00 120.00
Space group P6_3/mmc (No. 194)
Inequivalent atoms, fractional coordinates:
Mg: 0.1698 0.3395 0.2500
Al: 0.3333 0.6667 0.7500

Values from the calculation:
Energy of formation from the pure elements ... 1 kJ/mol of atoms

8.
Density functional theory data (GGA-PBE) for an optimized crystal structure of MgAl.

Lattice parameters (Å, degrees): 4.6221 4.6221 9.0239 90.00 90.00 120.00
Space group P6_3/mmc (No. 194)
Inequivalent atoms, fractional coordinates:
Mg: 0.3333 0.6667 0.0818
Al: 0.0000 0.0000 0.2500
Al: 0.3333 0.6667 0.7500

Values from the calculation:
Energy of formation from the pure elements ... 10 kJ/mol of atoms

9.
Density functional theory data (GGA-PBE) for an optimized crystal structure of MgAl.

Lattice parameters (Å, degrees): 3.010 11.438 4.567 90.00 90.00 90.00
Space group Cmcm (No. 63)
Inequivalent atoms, fractional coordinates:
Mg: 0.000 0.172 0.250
Al: 0.000 0.433 0.250

Values from the calculation:
Energy of formation from the pure elements ... 0 kJ/mol of atoms

10.
Density functional theory data (GGA-PBE) for an optimized crystal structure of Mg5Al3.

Lattice parameters (Å, degrees): 7.243 7.243 13.053 90.00 90.00 90.00
Space group I4/mcm (No. 140)
Inequivalent atoms, fractional coordinates:
Mg: 0.000 0.000 0.000
Mg: 0.162 0.338 0.155
Al: 0.000 0.000 0.250
Al: 0.129 0.371 0.500

Values from the calculation:
Energy of formation from the pure elements ... 7 kJ/mol of atoms

11.
Density functional theory data (GGA-PBE) for an optimized crystal structure of Mg3Al.

Lattice parameters (Å, degrees): 4.410 4.410 8.675 90.00 90.00 90.00
Space group I4/mmm (No. 139)
Inequivalent atoms, fractional coordinates:
Mg: 0.000 0.000 0.000
Mg: 0.000 0.500 0.250
Al: 0.000 0.000 0.500

Values from the calculation:
Energy of formation from the pure elements ... 1 kJ/mol of atoms

12.
Density functional theory data (GGA-PBE) for an optimized crystal structure of Mg3Al13.

Lattice parameters (Å, degrees): 8.245 8.250 8.246 90.00 90.00 90.00
Space group Amm2 (No. 38)
Inequivalent atoms, fractional coordinates:
Mg: 0.000 0.000 0.000
Mg: 0.254 0.000 0.256
Al: 0.000 0.000 0.508
Al: 0.000 0.247 0.752
Al: 0.257 0.249 0.506
Al: 0.258 0.000 0.753
Al: 0.500 0.000 0.002
Al: 0.500 0.000 0.508
Al: 0.500 0.246 0.755

Values from the calculation:
Energy of formation from the pure elements ... 2 kJ/mol of atoms

Among the records above, which one has the lowest energy of formation from the pure elements? Mg17Al12